First-principles (PBE-GGA) data for a relaxed Dy2Se3 crystal, as listed in the Alexandria database.

size of the total moment: 0.0 μB/cell
volume: 494.3 Å³ per cell
final energy: -5.80 eV per atom
formation energy (no corrections): -1.868 eV per atom

CIF file:
```
data_Dy2Se3
_space_group_name_H-M_alt 'P 1'
_space_group_IT_number 1
_space_group_name_Hall 'P 1'
_cell_length_a 4.0301
_cell_length_b 10.9888
_cell_length_c 11.1608
_cell_angle_alpha 90.00
_cell_angle_beta 90.00
_cell_angle_gamma 90.00
loop_
_atom_site_label
_atom_site_fract_x
_atom_site_fract_y
_atom_site_fract_z
Dy1 0.2500 0.9987 0.8063
Dy2 0.7500 0.0013 0.1937
Dy3 0.7500 0.4987 0.6937
Dy4 0.2500 0.5013 0.3063
Dy5 0.2500 0.1875 0.4871
Dy6 0.7500 0.8125 0.5129
Dy7 0.7500 0.6875 0.0129
Dy8 0.2500 0.3125 0.9871
Se1 0.2500 0.3046 0.7263
Se2 0.7500 0.6954 0.2737
Se3 0.7500 0.8046 0.7737
Se4 0.2500 0.1954 0.2263
Se5 0.2500 0.9440 0.3812
Se6 0.7500 0.0560 0.6188
Se7 0.7500 0.4440 0.1188
Se8 0.2500 0.5560 0.8812
Se9 0.2500 0.8746 0.0445
Se10 0.7500 0.1254 0.9555
Se11 0.7500 0.3746 0.4555
Se12 0.2500 0.6254 0.5445
```

---

First-principles (PBE-GGA) data for a relaxed Dy3Se4 crystal, as listed in the Alexandria database.

size of the total moment: 0.0 μB/cell
volume: 187.9 Å³ per cell
final energy: -5.80 eV per atom
formation energy (no corrections): -1.838 eV per atom

CIF file:
```
data_Dy3Se4
_space_group_name_H-M_alt 'P 1'
_space_group_IT_number 1
_space_group_name_Hall 'P 1'
_cell_length_a 5.7457
_cell_length_b 5.7457
_cell_length_c 6.9925
_cell_angle_alpha 114.26
_cell_angle_beta 114.26
_cell_angle_gamma 90.00
loop_
_atom_site_label
_atom_site_fract_x
_atom_site_fract_y
_atom_site_fract_z
Dy1 0.7500 0.2500 0.5000
Dy2 0.2500 0.7500 0.5000
Dy3 0.0000 0.0000 0.0000
Se1 0.2529 0.2529 0.5058
Se2 0.0000 0.5000 0.0000
Se3 0.5000 0.0000 0.0000
Se4 0.7471 0.7471 0.4942
```

---

First-principles (PBE-GGA) data for a relaxed Dy3Se2 crystal, as listed in the Alexandria database.

size of the total moment: 0.5 μB/cell
volume: 132.5 Å³ per cell
final energy: -5.54 eV per atom
formation energy (no corrections): -1.381 eV per atom

CIF file:
```
data_Dy3Se2
_space_group_name_H-M_alt 'P 1'
_space_group_IT_number 1
_space_group_name_Hall 'P 1'
_cell_length_a 3.9177
_cell_length_b 3.9177
_cell_length_c 10.2245
_cell_angle_alpha 78.95
_cell_angle_beta 78.95
_cell_angle_gamma 60.00
loop_
_atom_site_label
_atom_site_fract_x
_atom_site_fract_y
_atom_site_fract_z
Dy1 0.0000 0.0000 0.0000
Dy2 0.7870 0.7870 0.6390
Dy3 0.2130 0.2130 0.3610
Se1 0.3918 0.3918 0.8245
Se2 0.6082 0.6082 0.1755
```

---

First-principles (PBE-GGA) data for a relaxed Dy5Se8 crystal, as listed in the Alexandria database.

size of the total moment: 0.0 μB/cell
volume: 396.0 Å³ per cell
final energy: -5.64 eV per atom
formation energy (no corrections): -1.726 eV per atom

CIF file:
```
data_Dy5Se8
_space_group_name_H-M_alt 'P 1'
_space_group_IT_number 1
_space_group_name_Hall 'P 1'
_cell_length_a 8.2333
_cell_length_b 8.2333
_cell_length_c 7.8939
_cell_angle_alpha 104.23
_cell_angle_beta 106.40
_cell_angle_gamma 119.58
loop_
_atom_site_label
_atom_site_fract_x
_atom_site_fract_y
_atom_site_fract_z
Dy1 0.0000 0.0000 0.0000
Dy2 0.7589 0.2589 0.5000
Dy3 0.2411 0.7411 0.5000
Dy4 0.7266 0.7209 0.4474
Dy5 0.2734 0.2791 0.5526
Se1 0.2970 0.9858 0.2827
Se2 0.7030 0.0142 0.7173
Se3 0.7969 0.4536 0.2505
Se4 0.2031 0.5464 0.7495
Se5 0.8167 0.9851 0.2604
Se6 0.7247 0.5563 0.7396
Se7 0.2753 0.4437 0.2604
Se8 0.1833 0.0149 0.7396
```